# 1
# In2NiAg

An optimized crystal structure of In2NiAg (PBE, the Alexandria database).

- Space group: R-3m, No. 166
- E_tot: -41.01 eV/cell
- Fermi-level density of states: 0.805 states/eV per atom
- Energy of formation from the pure elements: 0.4 eV/f.u.
- Energy relative to the lowest polymorph listed for this composition: 0.143 eV/atom

```
In2NiAg
1.0
3.1820 0.0000 0.0000
-1.5910 2.7557 0.0000
0.0000 0.0000 26.1327
In Ni Ag
6 3 3
Cartesian
0.0000 0.0000 6.2891 In
0.0000 0.0000 19.8436 In
0.0000 1.8371 11.1327 In
0.0000 1.8371 23.7110 In
1.5910 0.9186 2.4218 In
1.5910 0.9186 15.0001 In
0.0000 0.0000 13.0664 Ni
0.0000 1.8371 4.3555 Ni
1.5910 0.9186 21.7773 Ni
0.0000 0.0000 0.0000 Ag
0.0000 1.8371 17.4218 Ag
1.5910 0.9186 8.7109 Ag
```

---

# 2
# DyErBi2

An optimized crystal structure of DyErBi2 (PBE, the Alexandria database).

- Space group: Pmmn, No. 59
- E_tot: -40.55 eV/cell
- Fermi-level density of states: 0.151 states/eV per atom
- Energy of formation from the pure elements: -3.3 eV/f.u.
- Energy relative to the lowest polymorph listed for this composition: 0.000 eV/atom

```
DyErBi2
1.0
4.4575 0.0000 0.0000
0.0000 6.3015 0.0000
0.0000 0.0000 8.9173
Dy Er Bi
2 2 4
Cartesian
1.1144 1.5754 1.1148 Dy
3.3431 4.7261 7.8025 Dy
1.1144 1.5754 5.5710 Er
3.3431 4.7261 3.3463 Er
1.1144 4.7261 1.1302 Bi
1.1144 4.7261 5.5610 Bi
3.3431 1.5754 3.3563 Bi
3.3431 1.5754 7.7871 Bi
```